Computed, not measured: an optimized crystal structure of SrTbInCu at the PBE level of DFT.

a b c (Å): 7.577 7.577 7.577
angles (deg): 90.00 90.00 90.00
Element x y z (fractional)
Sr  0.000  0.000  0.000
Sr  0.000  0.500  0.500
Sr  0.500  0.000  0.500
Sr  0.500  0.500  0.000
Tb  0.000  0.000  0.500
Tb  0.000  0.500  0.000
Tb  0.500  0.000  0.000
Tb  0.500  0.500  0.500
In  0.250  0.250  0.750
In  0.250  0.750  0.250
In  0.750  0.250  0.250
In  0.750  0.750  0.750
Cu  0.250  0.250  0.250
Cu  0.250  0.750  0.750
Cu  0.750  0.250  0.750
Cu  0.750  0.750  0.250

Symmetry   F-43m, No. 216
Energy relative to the elements   -171 meV per atom
Magnetization   0.00 μB/cell
E   -3.458 eV/atom

---

Computed, not measured: an optimized crystal structure of BeTcP2 at the PBE level of DFT.

a b c (Å): 3.137 3.676 4.389
angles (deg): 90.00 90.00 90.00
Element x y z (fractional)
Be  0.000  0.000  0.000
Tc  0.500  0.000  0.500
P  0.000  0.500  0.500
P  0.500  0.500  0.000

Symmetry   Pmmm, No. 47
Energy relative to the elements   257 meV per atom
Magnetization   0.00 μB/cell
E   -5.971 eV/atom